VASP calculation (PBE-GGA) on an optimized crystal structure of Ho2Al5ZnFe2.

The structure belongs to space group P4/mbm (No. 127); the cell edges are 9.2096, 9.2096 and 4.1234 Å and the angles 90.00°, 90.00° and 90.00°. The asymmetric unit holds Ho at (0.1880, 0.3120, 0.0000), Al at (0.0000, 0.5000, 0.5000), Al at (0.0586, 0.7862, 0.5000), Zn at (0.0000, 0.0000, 0.0000) and Fe at (0.0987, 0.5987, 0.0000).

As for the spin magnetization: 5.34 μB/cell. The mass density is 6.10 g/cm³. For the formation energy, the calculation gives -2.75 eV per formula unit.